Here is a relaxed structure of Hg2TeRu from the Alexandria database. Energies are from PBE.

a b c (Å): 6.972 6.972 6.972
angles (deg): 90.00 90.00 90.00
Space group F-43m (No. 216)
Inequivalent atoms, fractional coordinates:
Hg (0.000, 0.000, 0.000)
Hg (0.250, 0.250, 0.250)
Te (0.250, 0.250, 0.750)
Ru (0.000, 0.000, 0.500)

Computed properties:
DOS(E_F) in states/eV/atom: 1.10
Formation energy without anion corrections in eV per formula unit: 2.530
Crystal system: cubic
Uncorrected energy in eV per atom: -2.62